Entry 1:
A plane-wave DFT calculation with PBE was carried out for crystalline AcSmPu2As4 at its relaxed geometry.

abc: 7.3531 4.2668 7.4009
angles: 90.00 109.50 90.00
With the nearest neighbours (Å) after each atom.
Positions (direct):
Ac (0.0000, 0.0000, 0.0000)  6 As 3.13
Sm (0.0000, 0.5000, 0.5000)  6 As 3.04-3.05
Pu (0.5000, 0.0000, 0.5000)  6 As 2.90
Pu (0.5000, 0.5000, 0.0000)  6 As 2.99
As (0.2646, 0.0000, 0.7458)  3 Pu 2.90-2.99, 2 Sm 3.05, 1 Ac 3.13
As (0.2714, 0.5000, 0.2666)  3 Pu 2.90-2.99, 1 Sm 3.04, 2 Ac 3.13
As (0.7286, 0.5000, 0.7334)  3 Pu 2.90-2.99, 1 Sm 3.04, 2 Ac 3.13
As (0.7354, 0.0000, 0.2542)  3 Pu 2.90-2.99, 2 Sm 3.05, 1 Ac 3.13

Results
- SG: P2/m, No. 10
- Formation energy from the elements: -1.2245 eV/atom

---

Entry 2:
A plane-wave DFT calculation with PBE was carried out for crystalline AcSm2PuAs4 at its relaxed geometry.

abc: 7.4186 4.2886 7.4266
angles: 90.00 109.42 90.00
With the nearest neighbours (Å) after each atom.
Positions (direct):
Ac (0.0000, 0.0000, 0.0000)  6 As 3.10-3.11
Sm (0.0000, 0.5000, 0.5000)  6 As 3.06
Sm (0.5000, 0.0000, 0.5000)  6 As 2.96
Pu (0.5000, 0.5000, 0.0000)  6 As 3.00
As (0.2610, 0.0000, 0.7489)  3 Sm 2.96-3.06, 2 Pu 3.00, 1 Ac 3.10
As (0.2644, 0.5000, 0.2599)  3 Sm 2.96-3.06, 1 Pu 3.00, 2 Ac 3.11
As (0.7356, 0.5000, 0.7401)  3 Sm 2.96-3.06, 1 Pu 3.00, 2 Ac 3.11
As (0.7390, 0.0000, 0.2511)  3 Sm 2.96-3.06, 2 Pu 3.00, 1 Ac 3.10

Results
- SG: P2/m, No. 10
- Formation energy from the elements: -1.3405 eV/atom

---

Entry 3:
A plane-wave DFT calculation with PBE was carried out for crystalline AcTbPu2As4 at its relaxed geometry.

abc: 7.3173 4.2518 7.3766
angles: 90.00 109.50 90.00
With the nearest neighbours (Å) after each atom.
Positions (direct):
Ac (0.0000, 0.0000, 0.0000)  6 As 3.11-3.12
Tb (0.0000, 0.5000, 0.5000)  6 As 3.01
Pu (0.5000, 0.0000, 0.5000)  6 As 2.89
Pu (0.5000, 0.5000, 0.0000)  6 As 2.99-3.00
As (0.2612, 0.0000, 0.7424)  3 Pu 2.89-2.99, 2 Tb 3.01, 1 Ac 3.11
As (0.2696, 0.5000, 0.2687)  3 Pu 2.89-3.00, 1 Tb 3.01, 2 Ac 3.12
As (0.7304, 0.5000, 0.7313)  3 Pu 2.89-3.00, 1 Tb 3.01, 2 Ac 3.12
As (0.7388, 0.0000, 0.2576)  3 Pu 2.89-2.99, 2 Tb 3.01, 1 Ac 3.11

Results
- SG: P2/m, No. 10
- Formation energy from the elements: -1.2195 eV/atom

---

Magnetization (computed, μB per formula unit): 9.9; 4.9; 9.9
Final energy (computed, eV/atom): -8.24; -7.15; -8.22